RbBaNi2Ag after structural relaxation. Source: Alexandria via LeMat-Bulk, functional PBE.

## Properties
As for the energy of formation from the pure elements: 0.76 eV/atom. As for the density of states at the Fermi level: 5.67 states/eV/f.u.

CIF file:
```
data_RbBaNi2Ag
_chemical_formula_sum 'Rb1 Ba1 Ni2 Ag1'
_cell_length_a 5.1571
_cell_length_b 5.1571
_cell_length_c 5.7444
_cell_angle_alpha 90.00
_cell_angle_beta 90.00
_cell_angle_gamma 90.00
_symmetry_space_group_name_H-M 'P 4/m m m'
_symmetry_Int_Tables_number 123
_symmetry_space_group_name_Hall '-P 4 2'
loop_
_atom_site_label
_atom_site_fract_x
_atom_site_fract_y
_atom_site_fract_z
Rb1 0.0000 0.0000 0.0000
Ba1 0.5000 0.5000 0.0000
Ni1 0.0000 0.5000 0.5000
Ag1 0.5000 0.5000 0.5000
```

***

Sr4Zn3F14 after structural relaxation. Source: Alexandria via LeMat-Bulk, functional PBE.

## Properties
As for the density of states at the Fermi level: 0.00 states/eV/f.u. The value obtained for the energy relative to the elements, uncorrected is -3.234 eV/atom.

CIF file:
```
data_Sr4Zn3F14
_chemical_formula_sum 'Sr4 Zn3 F14'
_cell_length_a 6.8982
_cell_length_b 6.8982
_cell_length_c 7.1994
_cell_angle_alpha 90.00
_cell_angle_beta 90.00
_cell_angle_gamma 120.00
_symmetry_space_group_name_H-M 'P -6 2 m'
_symmetry_Int_Tables_number 189
_symmetry_space_group_name_Hall 'P -6 -2'
loop_
_atom_site_label
_atom_site_fract_x
_atom_site_fract_y
_atom_site_fract_z
Sr1 0.0000 0.0000 0.2383
Sr2 0.3333 0.6667 0.0000
Zn1 0.0000 0.5350 0.5000
F1 0.0000 0.2385 0.5000
F2 0.0000 0.2657 0.0000
F3 0.0000 0.6078 0.2321
F4 0.3333 0.6667 0.5000
```

***

Cr3HgP after structural relaxation. Source: Alexandria via LeMat-Bulk, functional PBE.

## Properties
As for the energy of formation from the pure elements: 0.59 eV/atom. As for the density of states at the Fermi level: 11.10 states/eV/f.u. Its energy above the most stable polymorph in this dataset is 0.0 meV per atom.

CIF file:
```
data_Cr3HgP
_chemical_formula_sum 'Cr3 Hg1 P1'
_cell_length_a 4.2476
_cell_length_b 4.2476
_cell_length_c 4.2476
_cell_angle_alpha 90.00
_cell_angle_beta 90.00
_cell_angle_gamma 90.00
_symmetry_space_group_name_H-M 'P m -3 m'
_symmetry_Int_Tables_number 221
_symmetry_space_group_name_Hall '-P 4 2 3'
loop_
_atom_site_label
_atom_site_fract_x
_atom_site_fract_y
_atom_site_fract_z
Cr1 0.0000 0.0000 0.5000
Hg1 0.5000 0.5000 0.5000
P1 0.0000 0.0000 0.0000
```

***

LaHoIn after structural relaxation. Source: Alexandria via LeMat-Bulk, functional PBE.

## Properties
As for the energy of formation from the pure elements: -0.25 eV/atom. As for the density of states at the Fermi level: 2.12 states/eV/f.u. Its energy above the most stable polymorph in this dataset is 90.2 meV per atom.

CIF file:
```
data_LaHoIn
_chemical_formula_sum 'La1 Ho1 In1'
_cell_length_a 5.3257
_cell_length_b 5.3257
_cell_length_c 3.7810
_cell_angle_alpha 90.00
_cell_angle_beta 90.00
_cell_angle_gamma 120.00
_symmetry_space_group_name_H-M 'P 3 m 1'
_symmetry_Int_Tables_number 156
loop_
_symmetry_equiv_pos_as_xyz
'x,y,z'
'-y,x-y,z'
'-x+y,-x,z'
'-y,-x,z'
'-x+y,y,z'
'x,x-y,z'
loop_
_atom_site_label
_atom_site_fract_x
_atom_site_fract_y
_atom_site_fract_z
La1 0.0000 0.0000 0.0000
Ho1 0.3333 0.6667 0.5507
In1 0.6667 0.3333 0.4091
```